# 1
DFT (PBE-GGA) results for a relaxed structure of ZnNiAg.

The structure in CIF format:
```
data_ZnNiAg
_chemical_formula_sum 'Zn4 Ni4 Ag4'
_cell_length_a 8.6449
_cell_length_b 3.6429
_cell_length_c 5.7233
_cell_angle_alpha 90.00
_cell_angle_beta 108.24
_cell_angle_gamma 90.00
_symmetry_space_group_name_H-M 'C 1 2/m 1'
_symmetry_Int_Tables_number 12
loop_
_symmetry_equiv_pos_as_xyz
'x,y,z'
'-x,-y,-z'
'-x,y,-z'
'x,-y,z'
'x+1/2,y+1/2,z'
'-x+1/2,-y+1/2,-z'
'-x+1/2,y+1/2,-z'
'x+1/2,-y+1/2,z'
loop_
_atom_site_label
_atom_site_type_symbol
_atom_site_fract_x
_atom_site_fract_y
_atom_site_fract_z
Zn1 Zn 0.0071 0.0000 0.2817
Ni1 Ni 0.1592 0.5000 0.5714
Ag1 Ag 0.1682 0.5000 0.0998
```

Properties
- ΔH_f (0 K): 0.003 eV/atom
- Energy above the lowest structure with this stoichiometry: 26 meV/atom
- Uncorrected energy: -0.24250 Ry per atom

# 2
DFT (PBE-GGA) results for a relaxed structure of AlHg2Os.

The structure in CIF format:
```
data_AlHg2Os
_chemical_formula_sum 'Al4 Hg8 Os4'
_cell_length_a 3.9319
_cell_length_b 3.9319
_cell_length_c 20.3033
_cell_angle_alpha 90.00
_cell_angle_beta 90.00
_cell_angle_gamma 90.00
_symmetry_space_group_name_H-M 'I -4 2 d'
_symmetry_Int_Tables_number 122
_symmetry_space_group_name_Hall 'I -4 2bw'
loop_
_atom_site_label
_atom_site_type_symbol
_atom_site_fract_x
_atom_site_fract_y
_atom_site_fract_z
Al1 Al 0.0000 0.0000 0.0000
Hg1 Hg 0.2426 0.2500 0.6250
Os1 Os 0.0000 0.0000 0.5000
```

Properties
- ΔH_f (0 K): 0.708 eV/atom
- Uncorrected energy: -0.23417 Ry per atom

# 3
DFT (PBE-GGA) results for a relaxed structure of Hf2CoPt.

The structure in CIF format:
```
data_Hf2CoPt
_chemical_formula_sum 'Hf8 Co4 Pt4'
_cell_length_a 4.2905
_cell_length_b 4.2905
_cell_length_c 16.9678
_cell_angle_alpha 90.00
_cell_angle_beta 90.00
_cell_angle_gamma 90.00
_symmetry_space_group_name_H-M 'I -4 2 d'
_symmetry_Int_Tables_number 122
_symmetry_space_group_name_Hall 'I -4 2bw'
loop_
_atom_site_label
_atom_site_type_symbol
_atom_site_fract_x
_atom_site_fract_y
_atom_site_fract_z
Hf1 Hf 0.2399 0.2500 0.1250
Co1 Co 0.0000 0.0000 0.0000
Pt1 Pt 0.0000 0.0000 0.5000
```

Properties
- ΔH_f (0 K): 0.076 eV/atom
- Uncorrected energy: -0.60174 Ry per atom

# 4
DFT (PBE-GGA) results for a relaxed structure of Ho3ErPd4.

The structure in CIF format:
```
data_Ho3ErPd4
_chemical_formula_sum 'Ho6 Er2 Pd8'
_cell_length_a 3.7155
_cell_length_b 6.6522
_cell_length_c 15.2378
_cell_angle_alpha 90.00
_cell_angle_beta 90.00
_cell_angle_gamma 90.00
_symmetry_space_group_name_H-M 'I m m m'
_symmetry_Int_Tables_number 71
_symmetry_space_group_name_Hall '-I 2 2'
loop_
_atom_site_label
_atom_site_type_symbol
_atom_site_fract_x
_atom_site_fract_y
_atom_site_fract_z
Ho1 Ho 0.0000 0.0000 0.0000
Ho2 Ho 0.0000 0.5000 0.2030
Er1 Er 0.0000 0.0000 0.5000
Pd1 Pd 0.0000 0.2932 0.3714
```

Properties
- ΔH_f (0 K): -0.714 eV/atom
- Energy above the lowest structure with this stoichiometry: 198 meV/atom
- Uncorrected energy: -0.41142 Ry per atom

# 5
DFT (PBE-GGA) results for a relaxed structure of SiGe3Ru.

The structure in CIF format:
```
data_SiGe3Ru
_chemical_formula_sum 'Si1 Ge3 Ru1'
_cell_length_a 4.8352
_cell_length_b 4.8352
_cell_length_c 4.8352
_cell_angle_alpha 90.00
_cell_angle_beta 90.00
_cell_angle_gamma 90.00
_symmetry_space_group_name_H-M 'P m -3 m'
_symmetry_Int_Tables_number 221
_symmetry_space_group_name_Hall '-P 4 2 3'
loop_
_atom_site_label
_atom_site_type_symbol
_atom_site_fract_x
_atom_site_fract_y
_atom_site_fract_z
Si1 Si 0.0000 0.0000 0.0000
Ge1 Ge 0.0000 0.5000 0.5000
Ru1 Ru 0.5000 0.5000 0.5000
```

Properties
- Energy above the lowest structure with this stoichiometry: 0 meV/atom
- Uncorrected energy: -0.37860 Ry per atom
- Raw formation energy: 270 kJ/mol of formula units

# 6
DFT (PBE-GGA) results for a relaxed structure of ZrCr2Os.

The structure in CIF format:
```
data_ZrCr2Os
_chemical_formula_sum 'Zr1 Cr2 Os1'
_cell_length_a 3.0438
_cell_length_b 3.0438
_cell_length_c 6.4080
_cell_angle_alpha 90.00
_cell_angle_beta 90.00
_cell_angle_gamma 90.00
_symmetry_space_group_name_H-M 'P 4 m m'
_symmetry_Int_Tables_number 99
loop_
_symmetry_equiv_pos_as_xyz
'x,y,z'
'-y,x,z'
'-x,-y,z'
'y,-x,z'
'-x,y,z'
'y,x,z'
'x,-y,z'
'-y,-x,z'
loop_
_atom_site_label
_atom_site_type_symbol
_atom_site_fract_x
_atom_site_fract_y
_atom_site_fract_z
Zr1 Zr 0.0000 0.0000 0.0000
Cr1 Cr 0.0000 0.0000 0.4797
Cr2 Cr 0.5000 0.5000 0.2753
Os1 Os 0.5000 0.5000 0.7131
```

Properties
- ΔH_f (0 K): 0.060 eV/atom
- Energy above the lowest structure with this stoichiometry: 5 meV/atom
- Uncorrected energy: -0.71265 Ry per atom

# 7
DFT (PBE-GGA) results for a relaxed structure of K2MgH6Pt.

The structure in CIF format:
```
data_K2MgH6Pt
_chemical_formula_sum 'K2 Mg1 H6 Pt1'
_cell_length_a 5.8544
_cell_length_b 5.8544
_cell_length_c 5.1183
_cell_angle_alpha 90.00
_cell_angle_beta 90.00
_cell_angle_gamma 120.00
_symmetry_space_group_name_H-M 'P -3 m 1'
_symmetry_Int_Tables_number 164
_symmetry_space_group_name_Hall '-P 3 2"'
loop_
_atom_site_label
_atom_site_type_symbol
_atom_site_fract_x
_atom_site_fract_y
_atom_site_fract_z
K1 K 0.3333 0.6667 0.2028
Mg1 Mg 0.0000 0.0000 0.5000
H1 H 0.1406 0.2811 0.7931
Pt1 Pt 0.0000 0.0000 0.0000
```

Properties
- Uncorrected energy: -0.23481 Ry per atom

# 8
DFT (PBE-GGA) results for a relaxed structure of Th2TlTe4.

The structure in CIF format:
```
data_Th2TlTe4
_chemical_formula_sum 'Th4 Tl2 Te8'
_cell_length_a 7.5502
_cell_length_b 7.5502
_cell_length_c 7.8480
_cell_angle_alpha 90.00
_cell_angle_beta 90.00
_cell_angle_gamma 90.00
_symmetry_space_group_name_H-M 'I 4/m m m'
_symmetry_Int_Tables_number 139
_symmetry_space_group_name_Hall '-I 4 2'
loop_
_atom_site_label
_atom_site_type_symbol
_atom_site_fract_x
_atom_site_fract_y
_atom_site_fract_z
Th1 Th 0.0000 0.5000 0.0000
Tl1 Tl 0.0000 0.0000 0.0000
Te1 Te 0.2500 0.2500 0.2500
```

Properties
- Energy above the lowest structure with this stoichiometry: 177 meV/atom
- Uncorrected energy: -0.37118 Ry per atom
- Raw formation energy: -538 kJ/mol of formula units

# 9
DFT (PBE-GGA) results for a relaxed structure of Y2ZnInHg.

The structure in CIF format:
```
data_Y2ZnInHg
_chemical_formula_sum 'Y4 Zn2 In2 Hg2'
_cell_length_a 6.8609
_cell_length_b 4.7576
_cell_length_c 8.0241
_cell_angle_alpha 90.00
_cell_angle_beta 108.42
_cell_angle_gamma 90.00
_symmetry_space_group_name_H-M 'P 1 21/m 1'
_symmetry_Int_Tables_number 11
loop_
_symmetry_equiv_pos_as_xyz
'x,y,z'
'-x,-y,-z'
'-x,y+1/2,-z'
'x,-y+1/2,z'
loop_
_atom_site_label
_atom_site_type_symbol
_atom_site_fract_x
_atom_site_fract_y
_atom_site_fract_z
Y1 Y 0.1562 0.2500 0.3561
Y2 Y 0.3044 0.2500 0.9065
Zn1 Zn 0.4509 0.7500 0.3463
In1 In 0.3223 0.7500 0.6494
Hg1 Hg 0.1352 0.7500 0.0550
```

Properties
- ΔH_f (0 K): -0.392 eV/atom
- Uncorrected energy: -0.28224 Ry per atom

# 10
DFT (PBE-GGA) results for a relaxed structure of ScHgPd6.

The structure in CIF format:
```
data_ScHgPd6
_chemical_formula_sum 'Sc1 Hg1 Pd6'
_cell_length_a 5.6792
_cell_length_b 5.6792
_cell_length_c 4.0655
_cell_angle_alpha 90.00
_cell_angle_beta 90.00
_cell_angle_gamma 90.00
_symmetry_space_group_name_H-M 'P 4/m m m'
_symmetry_Int_Tables_number 123
_symmetry_space_group_name_Hall '-P 4 2'
loop_
_atom_site_label
_atom_site_type_symbol
_atom_site_fract_x
_atom_site_fract_y
_atom_site_fract_z
Sc1 Sc 0.0000 0.0000 0.0000
Hg1 Hg 0.5000 0.5000 0.0000
Pd1 Pd 0.0000 0.5000 0.0000
Pd2 Pd 0.2469 0.2469 0.5000
```

Properties
- ΔH_f (0 K): -0.485 eV/atom
- Energy above the lowest structure with this stoichiometry: 0 meV/atom
- Uncorrected energy: -0.38285 Ry per atom

# 11
DFT (PBE-GGA) results for a relaxed structure of NbAlRu.

The structure in CIF format:
```
data_NbAlRu
_chemical_formula_sum 'Nb2 Al2 Ru2'
_cell_length_a 4.5372
_cell_length_b 3.1193
_cell_length_c 6.8393
_cell_angle_alpha 90.00
_cell_angle_beta 105.84
_cell_angle_gamma 90.00
_symmetry_space_group_name_H-M 'P 1 m 1'
_symmetry_Int_Tables_number 6
loop_
_symmetry_equiv_pos_as_xyz
'x,y,z'
'x,-y,z'
loop_
_atom_site_label
_atom_site_type_symbol
_atom_site_fract_x
_atom_site_fract_y
_atom_site_fract_z
Nb1 Nb 0.0000 0.0000 0.0000
Nb2 Nb 0.1495 0.5000 0.3657
Al1 Al 0.3903 0.0000 0.7023
Al2 Al 0.6265 0.0000 0.3251
Ru1 Ru 0.5054 0.5000 0.0091
Ru2 Ru 0.8572 0.5000 0.6587
```

Properties
- ΔH_f (0 K): -0.414 eV/atom
- Uncorrected energy: -0.59608 Ry per atom

# 12
DFT (PBE-GGA) results for a relaxed structure of MnW.

The structure in CIF format:
```
data_MnW
_chemical_formula_sum 'Mn8 W8'
_cell_length_a 7.4789
_cell_length_b 7.4789
_cell_length_c 4.2839
_cell_angle_alpha 90.00
_cell_angle_beta 90.00
_cell_angle_gamma 90.00
_symmetry_space_group_name_H-M 'P 4/m'
_symmetry_Int_Tables_number 83
loop_
_symmetry_equiv_pos_as_xyz
'x,y,z'
'-x,-y,-z'
'-y,x,z'
'y,-x,-z'
'-x,-y,z'
'x,y,-z'
'y,-x,z'
'-y,x,-z'
loop_
_atom_site_label
_atom_site_type_symbol
_atom_site_fract_x
_atom_site_fract_y
_atom_site_fract_z
Mn1 Mn 0.0214 0.7284 0.0000
Mn2 Mn 0.1185 0.1880 0.5000
W1 W 0.1693 0.5337 0.5000
W2 W 0.3025 0.3565 0.0000
```

Properties
- ΔH_f (0 K): 0.537 eV/atom
- Uncorrected energy: -0.77355 Ry per atom